# La3CoHg

A PBEsol-optimized structure of La3CoHg (meta-GGA SCAN, the Alexandria database).

Lattice parameters (Å, degrees): 5.205 5.205 5.205 90.00 90.00 90.00
Atoms (fractional coordinates):
La: 0.000 0.000 0.500
La: 0.000 0.500 0.000
La: 0.500 0.000 0.000
Co: 0.000 0.000 0.000
Hg: 0.500 0.500 0.500

Calculated values
The calculation puts the formation energy at -262 meV/atom. The symmetry is Pm-3m.

# CuPAu4

A PBEsol-optimized structure of CuPAu4 (meta-GGA SCAN, the Alexandria database).

Lattice parameters (Å, degrees): 5.344 5.344 5.344 60.00 60.00 60.00
Atoms (fractional coordinates):
Cu: 0.000 0.000 0.000
P: 0.750 0.750 0.750
Au: 0.375 0.375 0.375
Au: 0.375 0.375 0.875
Au: 0.375 0.875 0.375
Au: 0.875 0.375 0.375

Calculated values
The calculation puts the formation energy at 541 meV/atom. The symmetry is F-43m.